Record 1
The following is a PBE calculation of a relaxed structure of TlWSe2, from the Alexandria database.

Cell lengths 10.288, 10.288, 10.288 Å; angles 17.93, 17.93, 17.93 degrees
Element x y z (fractional)
Se  0.023  0.023  0.023
W  0.746  0.746  0.746
Tl  0.492  0.492  0.492
Se  0.239  0.239  0.239

Properties
The density of states at the Fermi level comes out at 2.0 states/eV/f.u. The calculation puts the uncorrected formation energy at 246 meV/atom. The space-group type is R3m (160). The energy above the most stable polymorph in this dataset comes out at 449.6 meV/atom. Its crystal system is trigonal.

Record 2
The following is a PBE calculation of a relaxed structure of LiCr2Mo, from the Alexandria database.

Cell lengths 4.192, 4.192, 4.192 Å; angles 60.00, 60.00, 60.00 degrees
Element x y z (fractional)
Cr  0.250  0.250  0.250
Cr  0.000  0.000  0.000
Mo  0.750  0.750  0.750
Li  0.500  0.500  0.500

Properties
The density of states at the Fermi level comes out at 4.1 states/eV/f.u. The formation enthalpy at 0 K comes out at 433 meV/atom. The space-group type is F-43m (216). The energy above the most stable polymorph in this dataset comes out at 138.1 meV/atom. Its crystal system is cubic.

Record 3
The following is a PBE calculation of a relaxed structure of AcAg3Au, from the Alexandria database.

Cell lengths 5.304, 5.304, 5.584 Å; angles 107.17, 107.17, 112.22 degrees
Element x y z (fractional)
Ag  0.150  0.649  0.299
Ag  0.649  0.150  0.299
Ag  0.048  0.048  0.096
Ac  0.400  0.400  0.800
Au  0.750  0.750  0.500

Properties
The density of states at the Fermi level comes out at 2.6 states/eV/f.u. The formation enthalpy at 0 K comes out at -267 meV/atom. The space-group type is Fmm2 (42). Its crystal system is orthorhombic.